Entry 1:
The following is a DFT calculation (PBEsol) of CaAlTe after structural relaxation.

abc: 5.1471 5.1471 5.1471
angles: 60.00 60.00 60.00
Last column: nearest neighbours and their distance in Å.
Element x y z (fractional)
Ca (0.0000, 0.0000, 0.0000)  4 Te 3.15
Al (0.5000, 0.5000, 0.5000)  4 Te 3.15
Te (0.2500, 0.2500, 0.2500)  4 Ca 3.15, 4 Al 3.15

Properties
Final energy in eV/atom: -3.506
Mass density in kg/m3: 3352
Polymorph energy (0 for the lowest one) in meV/atom: 229.1

=====

Entry 2:
The following is a DFT calculation (PBEsol) of LiHo2Rh after structural relaxation.

abc: 4.8337 4.8337 4.8337
angles: 60.00 60.00 60.00
Last column: nearest neighbours and their distance in Å.
Element x y z (fractional)
Li (0.0000, 0.0000, 0.0000)  8 Ho 2.96
Ho (0.2500, 0.2500, 0.2500)  4 Li 2.96, 4 Rh 2.96
Ho (0.7500, 0.7500, 0.7500)  4 Li 2.96, 4 Rh 2.96
Rh (0.5000, 0.5000, 0.5000)  8 Ho 2.96

Properties
Final energy in eV/atom: -5.478
DFT formation energy in eV/atom: -0.477
Mass density in kg/m3: 9143

=====

Entry 3:
The following is a DFT calculation (PBEsol) of InMoP2 after structural relaxation.

abc: 4.3956 4.3956 3.2226
angles: 90.00 90.00 90.00
Last column: nearest neighbours and their distance in Å.
Element x y z (fractional)
In (0.0000, 0.0000, 0.0000)  8 P 2.73
Mo (0.5000, 0.5000, 0.0000)  8 P 2.73
P (0.0000, 0.5000, 0.5000)  4 Mo 2.73, 4 In 2.73
P (0.5000, 0.0000, 0.5000)  4 Mo 2.73, 4 In 2.73

Properties
Final energy in eV/atom: -6.236
DFT formation energy in eV/atom: 0.348
Mass density in kg/m3: 7273

=====

Number 1: DOS at the Fermi energy 1.928 states/eV per cell. Number 2: DOS at the Fermi energy 2.172 states/eV per cell. Number 3: DOS at the Fermi energy 2.764 states/eV per cell.